(1)
{
  "formula": "Be2Co2Sb",
  "functional": "PBE",
  "state": "optimized geometry",
  "space_group": "No. 127",
  "e_above_lowest_polymorph_ev_per_fu": 0.000,
  "lattice": [[6.251, 0.000, 0.000], [0.000, 6.251, 0.000], [0.000, 0.000, 2.933]],
  "species": ["Be", "Be", "Be", "Be", "Co", "Co", "Co", "Co", "Sb", "Sb"],
  "fractional_positions": [[0.117, 0.383, 0.000], [0.383, 0.883, 0.000], [0.617, 0.117, 0.000], [0.883, 0.617, 0.000], [0.162, 0.662, 0.500], [0.338, 0.162, 0.500], [0.662, 0.838, 0.500], [0.838, 0.338, 0.500], [0.000, 0.000, 0.000], [0.500, 0.500, 0.000]]
}

---

(2)
{
  "formula": "BeCoSb2",
  "functional": "PBE",
  "state": "optimized geometry",
  "space_group": "No. 12",
  "lattice": [[3.170, -1.824, 0.000], [3.170, 1.824, 0.000], [-2.112, 0.000, 6.204]],
  "species": ["Be", "Co", "Sb", "Sb"],
  "fractional_positions": [[0.000, 0.000, 0.000], [0.500, 0.500, 0.500], [0.247, 0.247, 0.741], [0.753, 0.753, 0.259]]
}

---

(3)
{
  "formula": "Be2CoSb",
  "functional": "PBE",
  "state": "optimized geometry",
  "space_group": "No. 123",
  "lattice": [[3.692, 0.000, 0.000], [0.000, 3.692, 0.000], [0.000, 0.000, 3.616]],
  "species": ["Be", "Be", "Co", "Sb"],
  "fractional_positions": [[0.000, 0.500, 0.000], [0.500, 0.000, 0.000], [0.000, 0.000, 0.500], [0.500, 0.500, 0.500]]
}

---

Values for total magnetic moment, μB per atom, ordered as above
0.2324 0.0001 0.0005
Values for formation energy from raw total energies, eV/atom, ordered as above
0.08 0.29 0.25
Values for Fermi-level density of states, states/eV/f.u., ordered as above
4.72 2.65 1.76